# Nb2TlZnIr | the Alexandria database | GGA-PBE | optimized geometry
data_Nb2TlZnIr
_chemical_formula_sum 'Nb2 Tl1 Zn1 Ir1'
_space_group_name_H-M_alt 'P 4/m m m'
_space_group_IT_number 123
_space_group_name_Hall '-P 4 2'
_cell_length_a 5.116
_cell_length_b 5.116
_cell_length_c 4.559
_cell_angle_alpha 90.00
_cell_angle_beta 90.00
_cell_angle_gamma 90.00
loop_
_atom_site_label
_atom_site_fract_x
_atom_site_fract_y
_atom_site_fract_z
Nb1 0.000 0.500 0.000
Tl1 0.000 0.000 0.000
Zn1 0.000 0.000 0.500
Ir1 0.500 0.500 0.500
# * formation energy: 2060 meV per atom
# * Fermi-level density of states: 0.894 states/eV/atom
# * V: 23.862 Å³/atom